A plane-wave DFT calculation with PBE was carried out for HIrBr after structural relaxation.

Output
Energy (eV per atom): -4.25
SG: C2/m, No. 12
Magnetic moment (Bohr magnetons per cell): 0.00

a b c (Å): 3.049 6.138 6.196
angles (deg): 114.38 90.03 104.38
Positions (direct):
H 0.821 0.141 0.681
H 0.179 0.859 0.319
Ir 0.343 0.187 0.518
Ir 0.657 0.813 0.482
Br 0.571 0.641 0.794
Br 0.429 0.359 0.206